The following is a DFT calculation (GGA-PBE) of LiTlInNi2 after structural relaxation.

Properties
Formation enthalpy at 0 K ... 0.609 eV per atom
SG ... P4/mmm

a = 4.365 Å, b = 4.594 Å, c = 4.365 Å
α = 90.00°, β = 90.00°, γ = 90.00°
Sites, in units of the cell vectors:
Tl  0.500  0.500  0.500
In  0.000  0.500  0.000
Li  0.000  0.000  0.000
Ni  0.500  0.000  0.000
Ni  0.000  0.000  0.500


The following is a DFT calculation (GGA-PBE) of ZnCd2Hg8Pb after structural relaxation.

Properties
Formation enthalpy at 0 K ... 0.087 eV per atom
SG ... P-3m1

a = 6.579 Å, b = 6.579 Å, c = 8.553 Å
α = 90.00°, β = 90.00°, γ = 120.00°
Sites, in units of the cell vectors:
Cd  0.667  0.333  0.103
Cd  0.333  0.667  0.897
Hg  0.822  0.178  0.782
Hg  0.355  0.178  0.782
Hg  0.667  0.333  0.452
Hg  0.645  0.822  0.218
Hg  0.822  0.645  0.782
Hg  0.178  0.355  0.218
Hg  0.178  0.822  0.218
Hg  0.333  0.667  0.548
Pb  0.000  0.000  0.500
Zn  0.000  0.000  0.000


The following is a DFT calculation (GGA-PBE) of LaSi2IrRh2 after structural relaxation.

Properties
Raw formation energy ... -0.4132 eV/atom
SG ... P4/mmm

a = 4.526 Å, b = 4.526 Å, c = 5.654 Å
α = 90.00°, β = 90.00°, γ = 90.00°
Sites, in units of the cell vectors:
Si  0.000  0.500  0.000
Si  0.500  0.000  0.000
La  0.000  0.000  0.500
Ir  0.000  0.000  0.000
Rh  0.500  0.500  0.756
Rh  0.500  0.500  0.244


The following is a DFT calculation (GGA-PBE) of MnAlTlSe4 after structural relaxation.

Properties
Raw formation energy ... -0.4716 eV/atom
SG ... P2_1/m

a = 6.598 Å, b = 6.886 Å, c = 10.372 Å
α = 90.00°, β = 128.22°, γ = 90.00°
Each line ends with the local moment (μB).
Sites, in units of the cell vectors:
Al  0.208  0.750  0.354  0.01
Al  0.792  0.250  0.646  0.01
Se  0.619  0.750  0.612  -0.10
Se  0.907  0.992  0.324  -0.15
Se  0.907  0.508  0.324  -0.15
Se  0.093  0.008  0.676  -0.15
Se  0.381  0.250  0.388  -0.10
Se  0.093  0.492  0.676  -0.15
Se  0.326  0.750  0.179  -0.04
Se  0.674  0.250  0.821  -0.04
Mn  0.789  0.750  0.454  3.33
Mn  0.211  0.250  0.546  3.33
Tl  0.675  0.750  0.926  0.00
Tl  0.325  0.250  0.074  0.00


no.,energy (eV per atom)
1,-3.107
2,-0.682
3,-6.969
4,-4.645